[1]
HfMgInHg, optimized geometry, DFT PBE; space-group type = F-43m (216); ΔE to the lowest computed polymorph = 14.3 kJ/mol of atoms
1.0
-0.672 1.371 4.737
-4.462 1.598 1.519
-2.751 -2.821 3.040
Hg Hf Mg In
1 1 1 1
direct
0.250 0.250 0.250 Hg
0.500 0.500 0.500 Hf
0.000 0.000 0.000 Mg
0.750 0.750 0.750 In

***

[2]
HfMnIn2Hg, optimized geometry, DFT PBE; space-group type = P4/mmm (123)
1.0
5.552 0.000 0.000
0.000 5.427 0.000
0.000 0.000 5.552
Hg Hf In Mn
1 1 2 1
direct
0.000 0.500 0.000 Hg
0.000 0.000 0.000 Hf
0.500 0.000 0.000 In
0.000 0.000 0.500 In
0.500 0.500 0.500 Mn

***

[3]
HfIn2HgOs, optimized geometry, DFT PBE; space-group type = P4/mmm (123)
1.0
5.026 0.000 0.000
0.000 5.336 0.000
0.000 0.000 5.026
Os Hg In Hf
1 1 2 1
direct
0.500 0.500 0.500 Os
0.000 0.000 0.000 Hg
0.500 0.000 0.000 In
0.000 0.000 0.500 In
0.000 0.500 0.000 Hf

***

[4]
PmHfInHg, optimized geometry, DFT PBE; space-group type = F-43m (216)
1.0
5.187 0.000 0.000
2.593 4.492 0.000
2.593 1.497 4.235
In Hg Pm Hf
1 1 1 1
direct
0.750 0.750 0.750 In
0.250 0.250 0.250 Hg
0.500 0.500 0.500 Pm
0.000 0.000 0.000 Hf

***

[5]
HfScInHg, optimized geometry, DFT PBE; space-group type = P4mm (99)
1.0
-2.381 -0.215 -2.117
-0.428 -3.063 0.793
-5.533 2.323 5.988
Hf In Sc Hg
1 1 1 1
direct
0.000 0.000 0.567 Hf
0.500 0.500 0.821 In
0.000 0.000 0.077 Sc
0.500 0.500 0.320 Hg

***

[6]
HfSc2InHg, optimized geometry, DFT PBE; space-group type = P4/mmm (123)
1.0
5.176 0.000 0.000
0.000 5.532 0.000
0.000 0.000 5.176
Sc In Hg Hf
2 1 1 1
direct
0.000 0.000 0.500 Sc
0.500 0.000 0.000 Sc
0.000 0.500 0.000 In
0.500 0.500 0.500 Hg
0.000 0.000 0.000 Hf

***

[7]
SmHfInHg, optimized geometry, DFT PBE; space-group type = F-43m (216)
1.0
-5.007 -0.670 -1.109
-1.465 -0.960 -4.866
-1.757 -4.689 -1.294
Sm In Hf Hg
1 1 1 1
direct
0.000 0.000 0.000 Sm
0.250 0.250 0.250 In
0.500 0.500 0.500 Hf
0.750 0.750 0.750 Hg

***

[8]
TbHfInHg, optimized geometry, DFT PBE; space-group type = F-43m (216)
1.0
5.125 0.000 0.000
2.562 4.438 0.000
2.562 1.479 4.184
Tb In Hg Hf
1 1 1 1
direct
0.000 0.000 0.000 Tb
0.250 0.250 0.250 In
0.750 0.750 0.750 Hg
0.500 0.500 0.500 Hf

***

[9]
HfThInHg, optimized geometry, DFT PBE; space-group type = F-43m (216)
1.0
-1.551 2.354 -4.412
-1.106 -2.860 -4.244
-4.957 -0.475 -1.617
Th In Hg Hf
1 1 1 1
direct
0.000 0.000 0.000 Th
0.250 0.250 0.250 In
0.750 0.750 0.750 Hg
0.500 0.500 0.500 Hf

***

[10]
HfTiInHg, optimized geometry, DFT PBE; space-group type = Pmmm (47)
1.0
-0.978 -0.372 4.196
1.936 -3.801 0.115
3.755 1.944 1.048
Ti Hg Hf In
1 1 1 1
direct
0.000 0.000 0.000 Ti
0.500 0.000 0.500 Hg
0.500 0.500 0.000 Hf
0.000 0.500 0.500 In

***

[11]
YHfIn2Hg, optimized geometry, DFT PBE; space-group type = P4/mmm (123)
1.0
-5.154 -0.936 -0.383
-0.160 -1.346 5.446
-1.000 5.012 1.209
Y Hg In Hf
1 1 2 1
direct
0.000 0.500 0.000 Y
0.000 0.000 0.000 Hg
0.000 0.000 0.500 In
0.500 0.000 0.000 In
0.500 0.500 0.500 Hf

***

[12]
HfHgIr, optimized geometry, DFT PBE; space-group type = P3m1 (156); ΔE to the lowest computed polymorph = 6.7 kJ/mol of atoms
1.0
-4.313 -0.502 1.605
1.008 -1.221 -4.350
1.390 -5.750 1.936
Hg Ir Hf
2 2 2
direct
0.667 0.333 0.637 Hg
0.333 0.667 0.832 Hg
0.333 0.667 0.313 Ir
0.000 0.000 0.049 Ir
0.667 0.333 0.128 Hf
0.000 0.000 0.456 Hf

***

The records above give, respectively, DFT formation energy values of 0.1; 5.1; 8.4; -0.7; -1.0; 3.6; -0.7; -0.8; -0.1; -0.3; 3.7; -1.0 eV/f.u..